The following is a DFT calculation (PBE-GGA) of a relaxed PRhS2F crystal.

abc: 4.665 4.665 3.712
angles: 90.00 90.00 90.00
Space group P4/mmm (No. 123)
Unique sites:
P 0.000 0.000 0.000 x1
Rh 0.500 0.500 0.000 x1
S 0.000 0.500 0.500 x2
F 0.000 0.000 0.500 x1

Output
E (eV/atom): -3.669
ΔE to the lowest computed polymorph (meV/atom): 425.8
E_form (uncorrected) (eV per atom): 0.909
Total moment (Bohr magnetons per cell): 0.0
D(E_F) (states/eV/f.u.): 5.4
Volume (Å³/atom): 16.16

The following is a DFT calculation (PBE-GGA) of a relaxed SmPRhF crystal.

abc: 3.897 3.897 8.452
angles: 90.00 90.00 90.00
Space group P4/nmm (No. 129, origin choice 2)
Unique sites:
Sm 0.250 0.250 0.189 x2
P 0.250 0.250 0.666 x2
Rh 0.250 0.750 0.500 x2
F 0.250 0.750 0.000 x2

Output
E (eV/atom): -6.924
E_form (uncorrected) (eV per atom): -2.086
Total moment (Bohr magnetons per cell): 0.0
D(E_F) (states/eV/f.u.): 1.6
Volume (Å³/atom): 16.04

Question: Among the records above, which one has the lowest volume?
Answer: SmPRhF

Question: Which formula does entry 1 have?
Answer: PRhS2F